SrTcRh: optimized geometry, GGA-PBE.

It has space group Pm (No. 6), with a = 4.461 Å, b = 4.318 Å, c = 7.479 Å, α = 90.00°, β = 92.43° and γ = 90.00°. The distinct sites, in fractional coordinates, are Sr at (0.000, 0.000, 0.000), Sr at (0.492, 0.500, 0.672), Tc at (0.467, 0.000, 0.323), Tc at (0.931, 0.000, 0.473), Rh at (0.064, 0.500, 0.338) and Rh at (0.562, 0.500, 0.148).

The energy of formation is 0.1205 eV/atom.

NiRu2: optimized geometry, GGA-PBE.

It has space group C2/m (No. 12), with a = 9.513 Å, b = 2.726 Å, c = 6.222 Å, α = 90.00°, β = 104.60° and γ = 90.00°. The distinct sites, in fractional coordinates, are Ni at (0.027, 0.000, 0.306), Ru at (0.140, 0.500, 0.036) and Ru at (0.193, 0.500, 0.635).

The energy of formation is 0.0765 eV/atom.

MoPd3Pt: optimized geometry, GGA-PBE.

It has space group Pm-3m (No. 221), with a = 4.785 Å, b = 4.785 Å, c = 4.785 Å, α = 90.00°, β = 90.00° and γ = 90.00°. The distinct sites, in fractional coordinates, are Mo at (0.000, 0.000, 0.000), Pd at (0.000, 0.500, 0.500) and Pt at (0.500, 0.500, 0.500).

The energy of formation is 1.7308 eV/atom.

FePt2Au: optimized geometry, GGA-PBE.

It has space group Pmmm (No. 47), with a = 2.820 Å, b = 3.772 Å, c = 5.856 Å, α = 90.00°, β = 90.00° and γ = 90.00°. The distinct sites, in fractional coordinates, are Fe at (0.000, 0.000, 0.000), Pt at (0.500, 0.500, 0.231) and Au at (0.000, 0.000, 0.500).

The energy of formation is -0.0990 eV/atom.

KLiTl2: optimized geometry, GGA-PBE.

It has space group P4/mmm (No. 123), with a = 5.008 Å, b = 5.008 Å, c = 4.956 Å, α = 90.00°, β = 90.00° and γ = 90.00°. The distinct sites, in fractional coordinates, are K at (0.000, 0.000, 0.000), Li at (0.500, 0.500, 0.000) and Tl at (0.000, 0.500, 0.500).

The energy of formation is 0.0130 eV/atom.

HoErPd: optimized geometry, GGA-PBE.

It has space group P2_1/c (No. 14), with a = 6.415 Å, b = 7.217 Å, c = 6.853 Å, α = 90.00°, β = 94.92° and γ = 90.00°. The distinct sites, in fractional coordinates, are Ho at (0.102, 0.107, 0.264), Er at (0.421, 0.741, 0.497) and Pd at (0.297, 0.048, 0.714).

The energy of formation is -0.5904 eV/atom.

Fe2CoOs: optimized geometry, GGA-PBE.

It has space group R3m (No. 160, hexagonal axes), with a = 2.6341 Å, b = 2.6341 Å, c = 24.6052 Å, α = 90.00°, β = 90.00° and γ = 120.00°. The distinct sites, in fractional coordinates, are Fe at (0.0000, 0.0000, 0.0000), Fe at (0.0000, 0.0000, 0.2516), Co at (0.0000, 0.0000, 0.7451) and Os at (0.0000, 0.0000, 0.4999).

The energy of formation is 0.1577 eV/atom.

Pm2TeF3: optimized geometry, GGA-PBE.

It has space group C2/m (No. 12), with a = 15.174 Å, b = 4.035 Å, c = 8.097 Å, α = 90.00°, β = 113.02° and γ = 90.00°. The distinct sites, in fractional coordinates, are Pm at (0.029, 0.000, 0.230), Pm at (0.195, 0.500, 0.679), Te at (0.139, 0.500, 0.054), F at (0.061, 0.500, 0.406), F at (0.106, 0.000, 0.684) and F at (0.194, 0.000, 0.472).

Calculated values (eV/atom) of VASP energy for the records, taken in order: -6.35; -8.03; -4.76; -6.05; -1.92; -5.37; -8.66; -6.11.